{
  "formula": "GaTeAsSe2",
  "functional": "PBE",
  "state": "relaxed",
  "cell": [[5.447, 0.000, 0.000], [0.000, 5.447, 0.000], [0.000, 0.000, 5.357]],
  "species": ["As", "Te", "Ga", "Se", "Se"],
  "frac_coords": [[0.000, 0.000, 0.500], [0.000, 0.000, 0.000], [0.500, 0.500, 0.500], [0.000, 0.500, 0.000], [0.500, 0.000, 0.000]],
  "de_polymorph_mev_per_atom": 118,
  "density_g_cm3": 4.5,
  "formation_energy_uncorrected_mev_per_atom": 547,
  "e_tot_ev_per_fu": -15.05,
  "volume_a3_per_atom": 31.78
}

***

{
  "formula": "GaTeAs2Se",
  "functional": "PBE",
  "state": "relaxed",
  "cell": [[-1.722, -3.428, -3.739], [1.539, -4.116, 3.064], [-4.920, -0.091, 2.349]],
  "species": ["As", "As", "Te", "Ga", "Se"],
  "frac_coords": [[0.000, 0.500, 0.000], [0.500, 0.000, 0.000], [0.000, 0.000, 0.000], [0.500, 0.500, 0.500], [0.000, 0.000, 0.500]],
  "de_polymorph_mev_per_atom": 216,
  "density_g_cm3": 4.5,
  "formation_energy_uncorrected_mev_per_atom": 758,
  "e_tot_ev_per_fu": -15.16,
  "volume_a3_per_atom": 31.29
}

***

{
  "formula": "GaTeAsSe2",
  "functional": "PBE",
  "state": "relaxed",
  "cell": [[4.935, 0.000, 0.000], [0.000, 4.935, 0.000], [0.000, 0.000, 5.031]],
  "species": ["As", "Te", "Ga", "Se", "Se"],
  "frac_coords": [[0.000, 0.000, 0.500], [0.500, 0.500, 0.500], [0.000, 0.000, 0.000], [0.000, 0.500, 0.000], [0.500, 0.000, 0.000]],
  "de_polymorph_mev_per_atom": 0,
  "density_g_cm3": 5.8,
  "formation_energy_uncorrected_mev_per_atom": 430,
  "e_tot_ev_per_fu": -15.64,
  "volume_a3_per_atom": 24.51
}

***

{
  "formula": "GaTeAs2Se",
  "functional": "PBE",
  "state": "relaxed",
  "cell": [[-1.080, -3.462, 3.446], [4.541, 0.590, 2.016], [-1.753, 3.466, 2.933]],
  "species": ["As", "As", "Te", "Ga", "Se"],
  "frac_coords": [[0.000, 0.500, 0.000], [0.500, 0.000, 0.000], [0.500, 0.500, 0.500], [0.000, 0.000, 0.000], [0.000, 0.000, 0.500]],
  "de_polymorph_mev_per_atom": 0,
  "density_g_cm3": 5.8,
  "formation_energy_uncorrected_mev_per_atom": 542,
  "e_tot_ev_per_fu": -16.24,
  "volume_a3_per_atom": 24.36
}

***

{
  "formula": "Th6GaAs2Se3",
  "functional": "PBE",
  "state": "relaxed",
  "cell": [[-4.234, -0.690, 0.089], [0.478, -1.873, 8.194], [0.635, 9.458, 0.064]],
  "species": ["Th", "Th", "Th", "Th", "Th", "Th", "Ga", "As", "As", "Se", "Se", "Se"],
  "frac_coords": [[0.335, 0.914, 0.670], [0.667, 0.579, 0.335], [0.665, 0.086, 0.330], [0.002, 0.246, 0.004], [0.998, 0.754, 0.996], [0.333, 0.421, 0.665], [0.500, 0.000, 0.000], [0.832, 0.666, 0.665], [0.168, 0.334, 0.335], [0.500, 0.500, 0.000], [0.834, 0.168, 0.668], [0.166, 0.832, 0.332]],
  "density_g_cm3": 9.4,
  "formation_energy_uncorrected_mev_per_atom": -1321,
  "e_tot_ev_per_fu": -83.15,
  "volume_a3_per_atom": 27.13
}

***

{
  "formula": "Th6GaAs3Se2",
  "functional": "PBE",
  "state": "relaxed",
  "cell": [[4.268, 0.000, 0.000], [0.000, 8.477, 0.286], [-2.134, -2.460, 8.946]],
  "species": ["Th", "Th", "Th", "Th", "Th", "Th", "Ga", "As", "As", "As", "Se", "Se"],
  "frac_coords": [[0.334, 0.923, 0.668], [0.664, 0.586, 0.328], [0.666, 0.077, 0.332], [0.999, 0.249, 0.998], [0.001, 0.751, 0.002], [0.336, 0.414, 0.672], [0.500, 0.000, 0.000], [0.500, 0.500, 0.000], [0.833, 0.169, 0.665], [0.167, 0.831, 0.335], [0.832, 0.667, 0.664], [0.168, 0.333, 0.336]],
  "density_g_cm3": 9.4,
  "formation_energy_uncorrected_mev_per_atom": -1288,
  "e_tot_ev_per_fu": -83.92,
  "volume_a3_per_atom": 27.22
}

***

{
  "formula": "Th4GaAs2Se",
  "functional": "PBE",
  "state": "relaxed",
  "cell": [[4.274, 0.000, 0.000], [0.000, 7.400, -0.154], [0.000, 2.597, 6.882]],
  "species": ["Th", "Th", "Th", "Th", "Ga", "As", "As", "Se"],
  "frac_coords": [[0.000, 0.754, 0.745], [0.000, 0.246, 0.255], [0.500, 0.752, 0.252], [0.500, 0.248, 0.748], [0.000, 0.500, 0.500], [0.000, 0.000, 0.000], [0.500, 0.000, 0.500], [0.500, 0.500, 0.000]],
  "density_g_cm3": 9.3,
  "formation_energy_uncorrected_mev_per_atom": -1190,
  "e_tot_ev_per_fu": -55.01,
  "volume_a3_per_atom": 27.43
}

***

{
  "formula": "TiGaAsSe2",
  "functional": "PBE",
  "state": "relaxed",
  "cell": [[-0.785, 0.680, 4.861], [-1.443, -4.737, 0.429], [4.697, -1.345, 0.947]],
  "species": ["As", "Ga", "Se", "Se", "Ti"],
  "frac_coords": [[0.000, 0.000, 0.500], [0.500, 0.500, 0.500], [0.000, 0.500, 0.000], [0.500, 0.000, 0.000], [0.000, 0.000, 0.000]],
  "de_polymorph_mev_per_atom": 0,
  "density_g_cm3": 4.7,
  "formation_energy_uncorrected_mev_per_atom": -238,
  "e_tot_ev_per_fu": -23.73,
  "volume_a3_per_atom": 24.59
}

***

{
  "formula": "TiGaAsSe2",
  "functional": "PBE",
  "state": "relaxed",
  "cell": [[-0.764, -4.560, 1.677], [2.897, -1.790, -3.548], [3.804, 0.426, 2.891]],
  "species": ["As", "Ga", "Se", "Se", "Ti"],
  "frac_coords": [[0.000, 0.000, 0.500], [0.000, 0.000, 0.000], [0.000, 0.500, 0.000], [0.500, 0.000, 0.000], [0.500, 0.500, 0.500]],
  "de_polymorph_mev_per_atom": 724,
  "density_g_cm3": 5.0,
  "formation_energy_uncorrected_mev_per_atom": 485,
  "e_tot_ev_per_fu": -20.11,
  "volume_a3_per_atom": 23.20
}

***

{
  "formula": "TlGa2AsSe6",
  "functional": "PBE",
  "state": "relaxed",
  "cell": [[7.465, -0.217, -0.225], [2.124, 8.433, 0.313], [2.124, 0.000, 8.438]],
  "species": ["Tl", "Tl", "Ga", "Ga", "Ga", "Ga", "As", "As", "Se", "Se", "Se", "Se", "Se", "Se", "Se", "Se", "Se", "Se", "Se", "Se"],
  "frac_coords": [[0.250, 0.831, 0.169], [0.750, 0.169, 0.831], [0.296, 0.771, 0.620], [0.204, 0.380, 0.229], [0.704, 0.229, 0.380], [0.796, 0.620, 0.771], [0.250, 0.219, 0.781], [0.750, 0.781, 0.219], [0.144, 0.966, 0.823], [0.356, 0.177, 0.034], [0.856, 0.034, 0.177], [0.644, 0.823, 0.966], [0.414, 0.944, 0.397], [0.086, 0.603, 0.056], [0.586, 0.056, 0.603], [0.914, 0.397, 0.944], [0.035, 0.685, 0.551], [0.465, 0.449, 0.315], [0.965, 0.315, 0.449], [0.535, 0.551, 0.685]],
  "density_g_cm3": 5.5,
  "formation_energy_uncorrected_mev_per_atom": -283,
  "e_tot_ev_per_fu": -36.80,
  "volume_a3_per_atom": 26.95
}

***

{
  "formula": "TlGaAs2Se",
  "functional": "PBE",
  "state": "relaxed",
  "cell": [[4.995, 0.000, 0.000], [0.000, 4.995, 0.000], [0.000, 0.000, 5.240]],
  "species": ["Tl", "Ga", "As", "As", "Se"],
  "frac_coords": [[0.500, 0.500, 0.500], [0.000, 0.000, 0.000], [0.000, 0.500, 0.000], [0.500, 0.000, 0.000], [0.000, 0.000, 0.500]],
  "de_polymorph_mev_per_atom": 0,
  "density_g_cm3": 6.4,
  "formation_energy_uncorrected_mev_per_atom": 351,
  "e_tot_ev_per_fu": -16.42,
  "volume_a3_per_atom": 26.14
}

***

{
  "formula": "TlGaAs2Se",
  "functional": "PBE",
  "state": "relaxed",
  "cell": [[-1.657, 5.099, 0.089], [-0.794, -0.350, 5.291], [5.205, 1.676, 0.892]],
  "species": ["Tl", "Ga", "As", "As", "Se"],
  "frac_coords": [[0.000, 0.000, 0.000], [0.500, 0.500, 0.500], [0.000, 0.500, 0.000], [0.500, 0.000, 0.000], [0.000, 0.000, 0.500]],
  "de_polymorph_mev_per_atom": 501,
  "density_g_cm3": 5.2,
  "formation_energy_uncorrected_mev_per_atom": 852,
  "e_tot_ev_per_fu": -13.92,
  "volume_a3_per_atom": 31.86
}